ZrSc3Au | PBE | optimized geometry

Its calculated formation energy is 0.703 eV per atom. Its energy relative to the lowest polymorph listed for this composition is 461 meV/atom. The value obtained for the density of states at the Fermi level is 3.794 states/eV per cell. For the total energy, the calculation gives -27.3 eV/cell.

a = 5.066 Å, b = 5.066 Å, c = 5.066 Å
α = 90.00°, β = 90.00°, γ = 90.00°
Space group Pm-3m (No. 221)
Inequivalent atoms, fractional coordinates:
Zr  0.000  0.000  0.000 [1 per cell]
Sc  0.000  0.000  0.500 [3 per cell]
Au  0.500  0.500  0.500 [1 per cell]